[1]
Compound: PmRhO4
Source: Alexandria via LeMat-Bulk
Functional: PBE
Structure: optimized geometry

## Properties
E, eV/atom: -7.021
Calculated volume, Å³ per cell: 162.03
Distance to the lowest polymorph of the same formula, meV per atom: 22
M_tot, μB per formula unit: 1.93
ΔE_f (raw), eV per atom: -1.698

Cell: 7.1443 5.8472 4.8667 Å, 112.78 114.59 65.08°
Last column: magnetic moment on the atom in μB.
Positions (direct):
Pm 0.8297 0.3686 0.5929  0.02
Pm 0.1703 0.6314 0.4071  0.02
Rh 0.3709 0.1041 0.7163  0.93
Rh 0.6291 0.8959 0.2837  0.93
O 0.5356 0.7425 0.4853  0.14
O 0.6444 0.1065 0.0705  0.31
O 0.8853 0.9475 0.6157  0.26
O 0.8303 0.5449 0.1353  0.10
O 0.4644 0.2575 0.5147  0.14
O 0.1147 0.0525 0.3843  0.26
O 0.3556 0.8935 0.9295  0.31
O 0.1697 0.4551 0.8647  0.10

***

[2]
Compound: MnAu2Cl
Source: Alexandria via LeMat-Bulk
Functional: PBE
Structure: optimized geometry

## Properties
E, eV/atom: -4.368
Calculated volume, Å³ per cell: 82.25
Distance to the lowest polymorph of the same formula, meV per atom: 187
M_tot, μB per formula unit: 4.48
ΔE_f (raw), eV per atom: 0.024

Cell: 5.7154 5.7154 5.7154 Å, 149.43 118.61 70.14°
Last column: magnetic moment on the atom in μB.
Positions (direct):
Au 0.0280 0.0280 0.0000  0.06
Au 0.7662 0.2662 0.5000  0.02
Cl 0.4493 0.4493 0.0000  0.08
Mn 0.2564 0.7564 0.5000  4.04

***

[3]
Compound: ScFe2B
Source: Alexandria via LeMat-Bulk
Functional: PBE
Structure: optimized geometry

## Properties
E, eV/atom: -7.202
Calculated volume, Å³ per cell: 113.78
M_tot, μB per formula unit: 0.00

Cell: 4.0369 4.0369 7.5430 Å, 74.48 74.48 90.00°
Positions (direct):
Sc 0.0000 0.0000 0.0000
Sc 0.7500 0.2500 0.5000
B 0.5000 0.5000 0.0000
B 0.2500 0.7500 0.5000
Fe 0.4233 0.1250 0.2500
Fe 0.3267 0.6250 0.2500
Fe 0.3750 0.5767 0.7500
Fe 0.8750 0.6733 0.7500

***

[4]
Compound: Cd2SiPd6
Source: Alexandria via LeMat-Bulk
Functional: PBE
Structure: optimized geometry

## Properties
E, eV/atom: -4.562
Calculated volume, Å³ per cell: 146.38
M_tot, μB per formula unit: 0.00
ΔE_f (raw), eV per atom: -0.294

Cell: 2.8760 7.6663 7.6663 Å, 120.00 90.00 90.00°
Positions (direct):
Cd 0.5000 0.6667 0.3333
Cd 0.5000 0.3333 0.6667
Si 0.0000 0.0000 0.0000
Pd 0.2245 0.0000 0.3167
Pd 0.2245 0.6833 0.6833
Pd 0.7755 0.0000 0.6833
Pd 0.7755 0.6833 0.0000
Pd 0.7755 0.3167 0.3167
Pd 0.2245 0.3167 0.0000

***

[5]
Compound: BeTl2Os
Source: Alexandria via LeMat-Bulk
Functional: PBE
Structure: optimized geometry

## Properties
E, eV/atom: -3.944
Calculated volume, Å³ per cell: 72.20
Distance to the lowest polymorph of the same formula, meV per atom: 554
M_tot, μB per formula unit: 0.12

Cell: 3.5440 3.5169 5.7930 Å, 90.00 90.00 90.00°
Last column: magnetic moment on the atom in μB.
Positions (direct):
Be 0.5000 0.5000 0.2500  0.00
Tl 0.0000 0.0000 0.0063  0.00
Tl 0.0000 0.0000 0.4937  0.00
Os 0.5000 0.5000 0.7500  0.12

***

[6]
Compound: Be6B2Os
Source: Alexandria via LeMat-Bulk
Functional: PBE
Structure: optimized geometry

## Properties
E, eV/atom: -5.215
Calculated volume, Å³ per cell: 151.68
M_tot, μB per formula unit: 0.00

Cell: 5.4696 6.1691 6.8489 Å, 99.18 115.68 122.11°
Positions (direct):
Be 0.2555 0.3887 0.5201
Be 0.2125 0.5688 0.7919
Be 0.7445 0.6113 0.4799
Be 0.7875 0.4312 0.2081
Be 0.8360 0.0285 0.5332
Be 0.5300 0.4261 0.8665
Be 0.1640 0.9715 0.4668
Be 0.4700 0.5739 0.1335
Be 0.2482 0.1928 0.1796
Be 0.2541 0.9913 0.8592
Be 0.7518 0.8072 0.8204
Be 0.7459 0.0087 0.1408
B 0.2074 0.4755 0.2662
B 0.3132 0.7397 0.5083
B 0.7926 0.5245 0.7338
B 0.6868 0.2603 0.4917
Os 0.2392 0.8110 0.1498
Os 0.7608 0.1890 0.8502